Entry 1:
## La2FeW (GGA-PBE)

Data for a relaxed structure of La2FeW.

Values from the calculation:
theoretical density: 10013 kg/m3
crystal system: cubic
calculated formation energy: 17.08 kcal/mol of atoms

Cell lengths 7.002, 7.002, 7.002 Å; angles 90.00, 90.00, 90.00 degrees
Space group F-43m (No. 216)
One atom of each set of equivalent atoms:
La 0.000 0.000 0.000 x4
La 0.250 0.250 0.250 x4
Fe 0.250 0.250 0.750 x4
W 0.000 0.000 0.500 x4

Entry 2:
## La2FeW (GGA-PBE)

Data for a relaxed structure of La2FeW.

Values from the calculation:
theoretical density: 9786 kg/m3
crystal system: orthorhombic
calculated formation energy: 17.60 kcal/mol of atoms

Cell lengths 3.708, 5.099, 9.288 Å; angles 90.00, 90.00, 90.00 degrees
Space group Cmmm (No. 65)
One atom of each set of equivalent atoms:
La 0.000 0.000 0.238 x4
Fe 0.000 0.500 0.000 x2
W 0.000 0.500 0.500 x2

Entry 3:
## La2YFe (GGA-PBE)

Data for a relaxed structure of La2YFe.

Values from the calculation:
theoretical density: 6170 kg/m3
crystal system: monoclinic
calculated formation energy: 1.73 kcal/mol of atoms

Cell lengths 3.815, 10.011, 6.169 Å; angles 90.00, 105.09, 90.00 degrees
Space group P2_1/m (No. 11)
One atom of each set of equivalent atoms:
La 0.127 0.077 0.275 x4
Y 0.454 0.250 0.807 x2
Fe 0.193 0.750 0.561 x2

Entry 4:
## La2YFe (GGA-PBE)

Data for a relaxed structure of La2YFe.

Values from the calculation:
theoretical density: 6471 kg/m3
crystal system: cubic
calculated formation energy: 9.09 kcal/mol of atoms

Cell lengths 7.570, 7.570, 7.570 Å; angles 90.00, 90.00, 90.00 degrees
Space group F-43m (No. 216)
One atom of each set of equivalent atoms:
La 0.000 0.000 0.000 x4
La 0.250 0.250 0.250 x4
Y 0.250 0.250 0.750 x4
Fe 0.000 0.000 0.500 x4

Entry 5:
## LaYFe2 (GGA-PBE)

Data for a relaxed structure of LaYFe2.

Values from the calculation:
theoretical density: 6393 kg/m3
crystal system: monoclinic
calculated formation energy: 1.98 kcal/mol of atoms

Cell lengths 4.374, 3.914, 5.592 Å; angles 90.00, 112.91, 90.00 degrees
Space group Pm (No. 6)
One atom of each set of equivalent atoms:
La 0.000 0.000 0.000 x1
Y 0.290 0.500 0.579 x1
Fe 0.612 0.500 0.224 x1
Fe 0.700 0.000 0.399 x1

Entry 6:
## La2YFe (GGA-PBE)

Data for a relaxed structure of La2YFe.

Values from the calculation:
theoretical density: 6361 kg/m3
crystal system: orthorhombic
calculated formation energy: 2.90 kcal/mol of atoms

Cell lengths 3.679, 5.685, 10.549 Å; angles 90.00, 90.00, 90.00 degrees
Space group Immm (No. 71)
One atom of each set of equivalent atoms:
La 0.000 0.000 0.184 x4
Y 0.000 0.500 0.000 x2
Fe 0.000 0.500 0.500 x2

Entry 7:
## La2YFe2 (GGA-PBE)

Data for a relaxed structure of La2YFe2.

Values from the calculation:
theoretical density: 6338 kg/m3
crystal system: tetragonal
calculated formation energy: 3.51 kcal/mol of atoms

Cell lengths 7.637, 7.637, 4.297 Å; angles 90.00, 90.00, 90.00 degrees
Space group P4/mbm (No. 127)
One atom of each set of equivalent atoms:
La 0.176 0.324 0.000 x4
Y 0.000 0.000 0.500 x2
Fe 0.104 0.604 0.500 x4

Entry 8:
## LaY4Fe (GGA-PBE)

Data for a relaxed structure of LaY4Fe.

Values from the calculation:
theoretical density: 4806 kg/m3
crystal system: cubic
calculated formation energy: 15.75 kcal/mol of atoms

Cell lengths 9.128, 9.128, 9.128 Å; angles 90.00, 90.00, 90.00 degrees
Space group F-43m (No. 216)
One atom of each set of equivalent atoms:
La 0.000 0.000 0.000 x4
Y 0.125 0.125 0.625 x16
Fe 0.250 0.250 0.250 x4

Entry 9:
## La2YFe (GGA-PBE)

Data for a relaxed structure of La2YFe.

Values from the calculation:
theoretical density: 5837 kg/m3
crystal system: trigonal
calculated formation energy: 4.85 kcal/mol of atoms

Cell lengths 3.8218, 3.8218, 28.5120 Å; angles 90.00, 90.00, 120.00 degrees
Space group R3m (No. 160, hexagonal axes)
One atom of each set of equivalent atoms:
La 0.0000 0.0000 0.0000 x3
La 0.0000 0.0000 0.2163 x3
Y 0.0000 0.0000 0.4419 x3
Fe 0.0000 0.0000 0.7168 x3

Entry 10:
## LaYFe (GGA-PBE)

Data for a relaxed structure of LaYFe.

Values from the calculation:
theoretical density: 5819 kg/m3
crystal system: orthorhombic
calculated formation energy: 1.58 kcal/mol of atoms

Cell lengths 7.167, 12.264, 7.366 Å; angles 90.00, 90.00, 90.00 degrees
Space group Cmce (No. 64)
One atom of each set of equivalent atoms:
La 0.000 0.201 0.116 x8
Y 0.250 0.037 0.750 x8
Fe 0.000 0.091 0.460 x8

Entry 11:
## La2YFe (GGA-PBE)

Data for a relaxed structure of La2YFe.

Values from the calculation:
theoretical density: 6265 kg/m3
crystal system: tetragonal
calculated formation energy: 8.32 kcal/mol of atoms

Cell lengths 4.756, 4.756, 9.901 Å; angles 90.00, 90.00, 90.00 degrees
Space group I4/mmm (No. 139)
One atom of each set of equivalent atoms:
La 0.000 0.500 0.250 x4
Y 0.000 0.000 0.000 x2
Fe 0.000 0.000 0.500 x2

Entry 12:
## LaYFe (GGA-PBE)

Data for a relaxed structure of LaYFe.

Values from the calculation:
theoretical density: 6098 kg/m3
crystal system: cubic
calculated formation energy: 5.39 kcal/mol of atoms

Cell lengths 6.760, 6.760, 6.760 Å; angles 90.00, 90.00, 90.00 degrees
Space group F-43m (No. 216)
One atom of each set of equivalent atoms:
La 0.000 0.000 0.000 x4
Y 0.000 0.000 0.500 x4
Fe 0.250 0.250 0.750 x4